1.
Compound: CoSe2
Source: Alexandria via LeMat-Bulk
Functional: meta-GGA SCAN
Structure: single point on PBEsol structure

Crystal system: orthorhombic
ΔE_f (raw): -1.02 eV/f.u.
DOS at the Fermi energy: 1.65 states/eV per cell

Unit cell a=4.808 b=5.720 c=3.586 alpha=90.00 beta=90.00 gamma=90.00
Space group Pnnm (No. 58)
One atom of each set of equivalent atoms:
Co 0.000 0.000 0.000 (multiplicity 2)
Se 0.220 0.368 0.000 (multiplicity 4)

2.
Compound: ZrSc2Be
Source: Alexandria via LeMat-Bulk
Functional: meta-GGA SCAN
Structure: single point on PBEsol structure

Crystal system: monoclinic
DOS at the Fermi energy: 3.79 states/eV per cell
DFT formation energy: 0.176 eV/atom

Unit cell a=3.178 b=4.262 c=5.785 alpha=90.00 beta=99.16 gamma=90.00
Space group P2/m (No. 10)
One atom of each set of equivalent atoms:
Zr 0.000 0.000 0.000 (multiplicity 1)
Sc 0.421 0.500 0.733 (multiplicity 2)
Be 0.000 0.000 0.500 (multiplicity 1)

3.
Compound: SiIr2Br
Source: Alexandria via LeMat-Bulk
Functional: meta-GGA SCAN
Structure: single point on PBEsol structure

Crystal system: orthorhombic
ΔE_f (raw): 3.05 eV/f.u.
DOS at the Fermi energy: 1.98 states/eV per cell
ΔE to the lowest computed polymorph: 0.897 eV/f.u.

Unit cell a=2.808 b=4.266 c=5.153 alpha=90.00 beta=90.00 gamma=90.00
Space group Pmmm (No. 47)
One atom of each set of equivalent atoms:
Si 0.000 0.000 0.000 (multiplicity 1)
Ir 0.000 0.500 0.500 (multiplicity 1)
Ir 0.500 0.500 0.000 (multiplicity 1)
Br 0.500 0.000 0.500 (multiplicity 1)

4.
Compound: Cu2AgSe
Source: Alexandria via LeMat-Bulk
Functional: meta-GGA SCAN
Structure: single point on PBEsol structure

Crystal system: tetragonal
ΔE_f (raw): 0.68 eV/f.u.
DOS at the Fermi energy: 1.47 states/eV per cell

Unit cell a=3.274 b=3.274 c=5.420 alpha=90.00 beta=90.00 gamma=90.00
Space group P4/mmm (No. 123)
One atom of each set of equivalent atoms:
Cu 0.000 0.000 0.243 (multiplicity 2)
Ag 0.500 0.500 0.500 (multiplicity 1)
Se 0.500 0.500 0.000 (multiplicity 1)

5.
Compound: Zr2Pd2Pt
Source: Alexandria via LeMat-Bulk
Functional: meta-GGA SCAN
Structure: single point on PBEsol structure

Crystal system: tetragonal
DOS at the Fermi energy: 3.83 states/eV per cell
DFT formation energy: -0.476 eV/atom

Unit cell a=4.969 b=4.969 c=7.785 alpha=90.00 beta=90.00 gamma=90.00
Space group I4/mmm (No. 139)
One atom of each set of equivalent atoms:
Zr 0.000 0.500 0.250 (multiplicity 4)
Pd 0.000 0.000 0.151 (multiplicity 4)
Pt 0.000 0.000 0.500 (multiplicity 2)

6.
Compound: YMgTl
Source: Alexandria via LeMat-Bulk
Functional: meta-GGA SCAN
Structure: single point on PBEsol structure

Crystal system: hexagonal
DOS at the Fermi energy: 2.05 states/eV per cell
DFT formation energy: -0.455 eV/atom

Unit cell a=4.8974 b=4.8974 c=3.5634 alpha=90.00 beta=90.00 gamma=120.00
Space group P-6m2 (No. 187)
One atom of each set of equivalent atoms:
Y 0.0000 0.0000 0.0000 (multiplicity 1)
Mg 0.6667 0.3333 0.5000 (multiplicity 1)
Tl 0.3333 0.6667 0.5000 (multiplicity 1)

7.
Compound: SrTlRe2
Source: Alexandria via LeMat-Bulk
Functional: meta-GGA SCAN
Structure: single point on PBEsol structure

Crystal system: tetragonal
DOS at the Fermi energy: 3.23 states/eV per cell
ΔE to the lowest computed polymorph: 1.535 eV/f.u.
DFT formation energy: 1.226 eV/atom

Unit cell a=3.615 b=3.615 c=6.742 alpha=90.00 beta=90.00 gamma=90.00
Space group P4/mmm (No. 123)
One atom of each set of equivalent atoms:
Sr 0.000 0.000 0.000 (multiplicity 1)
Tl 0.000 0.000 0.500 (multiplicity 1)
Re 0.500 0.500 0.324 (multiplicity 2)

8.
Compound: Rb3InRe
Source: Alexandria via LeMat-Bulk
Functional: meta-GGA SCAN
Structure: single point on PBEsol structure

Crystal system: cubic
DOS at the Fermi energy: 5.55 states/eV per cell
DFT formation energy: 1.493 eV/atom

Unit cell a=6.420 b=6.420 c=6.420 alpha=90.00 beta=90.00 gamma=90.00
Space group Pm-3m (No. 221)
One atom of each set of equivalent atoms:
Rb 0.000 0.000 0.500 (multiplicity 3)
In 0.500 0.500 0.500 (multiplicity 1)
Re 0.000 0.000 0.000 (multiplicity 1)

9.
Compound: Mn3Nb2Cr3O16
Source: Alexandria via LeMat-Bulk
Functional: meta-GGA SCAN
Structure: single point on PBEsol structure

Crystal system: monoclinic
ΔE_f (raw): -55.93 eV/f.u.
DOS at the Fermi energy: 11.67 states/eV per cell

Unit cell a=9.976 b=5.746 c=9.202 alpha=90.00 beta=90.48 gamma=90.00
Space group Cm (No. 8)
One atom of each set of equivalent atoms:
Mn 0.000 0.000 0.000 (multiplicity 2)
Mn 0.085 0.252 0.499 (multiplicity 4)
Nb 0.000 0.500 0.217 (multiplicity 2)
Nb 0.335 0.500 0.718 (multiplicity 2)
Cr 0.252 0.255 0.997 (multiplicity 4)
Cr 0.337 0.000 0.498 (multiplicity 2)
O 0.005 0.000 0.611 (multiplicity 2)
O 0.007 0.500 0.604 (multiplicity 2)
O 0.085 0.249 0.112 (multiplicity 4)
O 0.151 0.500 0.384 (multiplicity 2)
O 0.165 0.000 0.401 (multiplicity 2)
O 0.168 0.000 0.906 (multiplicity 2)
O 0.188 0.500 0.875 (multiplicity 2)
O 0.251 0.248 0.612 (multiplicity 4)
O 0.334 0.000 0.112 (multiplicity 2)
O 0.338 0.500 0.106 (multiplicity 2)
O 0.412 0.280 0.881 (multiplicity 4)
O 0.432 0.223 0.381 (multiplicity 4)

10.
Compound: InSn3Br
Source: Alexandria via LeMat-Bulk
Functional: meta-GGA SCAN
Structure: single point on PBEsol structure

Crystal system: cubic
ΔE_f (raw): 3.40 eV/f.u.
DOS at the Fermi energy: 1.62 states/eV per cell

Unit cell a=5.502 b=5.502 c=5.502 alpha=90.00 beta=90.00 gamma=90.00
Space group Pm-3m (No. 221)
One atom of each set of equivalent atoms:
In 0.000 0.000 0.000 (multiplicity 1)
Sn 0.000 0.500 0.500 (multiplicity 3)
Br 0.500 0.500 0.500 (multiplicity 1)

11.
Compound: Ta3AgIr
Source: Alexandria via LeMat-Bulk
Functional: meta-GGA SCAN
Structure: single point on PBEsol structure

Crystal system: cubic
DOS at the Fermi energy: 3.16 states/eV per cell
DFT formation energy: 1.079 eV/atom

Unit cell a=4.794 b=4.794 c=4.794 alpha=90.00 beta=90.00 gamma=90.00
Space group Pm-3m (No. 221)
One atom of each set of equivalent atoms:
Ta 0.000 0.000 0.500 (multiplicity 3)
Ag 0.500 0.500 0.500 (multiplicity 1)
Ir 0.000 0.000 0.000 (multiplicity 1)

12.
Compound: BiBSb2Te
Source: Alexandria via LeMat-Bulk
Functional: meta-GGA SCAN
Structure: single point on PBEsol structure

Crystal system: tetragonal
ΔE_f (raw): 9.14 eV/f.u.
DOS at the Fermi energy: 5.19 states/eV per cell

Unit cell a=5.779 b=5.779 c=5.811 alpha=90.00 beta=90.00 gamma=90.00
Space group P4/mmm (No. 123)
One atom of each set of equivalent atoms:
Bi 0.000 0.000 0.000 (multiplicity 1)
B 0.500 0.500 0.500 (multiplicity 1)
Sb 0.000 0.500 0.000 (multiplicity 2)
Te 0.000 0.000 0.500 (multiplicity 1)

13.
Compound: BiBPdSe2
Source: Alexandria via LeMat-Bulk
Functional: meta-GGA SCAN
Structure: single point on PBEsol structure

Crystal system: tetragonal
ΔE_f (raw): 2.13 eV/f.u.
DOS at the Fermi energy: 2.29 states/eV per cell

Unit cell a=5.132 b=5.132 c=3.931 alpha=90.00 beta=90.00 gamma=90.00
Space group P4/mmm (No. 123)
One atom of each set of equivalent atoms:
Bi 0.000 0.000 0.000 (multiplicity 1)
B 0.500 0.500 0.000 (multiplicity 1)
Pd 0.500 0.500 0.500 (multiplicity 1)
Se 0.000 0.500 0.500 (multiplicity 2)

14.
Compound: BaSrHPb2
Source: Alexandria via LeMat-Bulk
Functional: meta-GGA SCAN
Structure: single point on PBEsol structure

VASP energy: -43.773 eV per atom
Crystal system: tetragonal
DOS at the Fermi energy: 1.55 states/eV per cell

Unit cell a=5.313 b=5.313 c=4.919 alpha=90.00 beta=90.00 gamma=90.00
Space group P4/mmm (No. 123)
One atom of each set of equivalent atoms:
Ba 0.000 0.000 0.000 (multiplicity 1)
Sr 0.500 0.500 0.000 (multiplicity 1)
H 0.500 0.500 0.500 (multiplicity 1)
Pb 0.000 0.500 0.500 (multiplicity 2)

15.
Compound: Er6Co2Sn
Source: Alexandria via LeMat-Bulk
Functional: meta-GGA SCAN
Structure: single point on PBEsol structure

Crystal system: orthorhombic
DOS at the Fermi energy: 21.28 states/eV per cell
DFT formation energy: -0.352 eV/atom

Unit cell a=9.146 b=9.377 c=9.690 alpha=90.00 beta=90.00 gamma=90.00
Space group Immm (No. 71)
One atom of each set of equivalent atoms:
Er 0.000 0.209 0.237 (multiplicity 8)
Er 0.188 0.500 0.176 (multiplicity 8)
Er 0.216 0.316 0.500 (multiplicity 8)
Co 0.000 0.343 0.000 (multiplicity 4)
Co 0.000 0.500 0.386 (multiplicity 4)
Sn 0.000 0.000 0.000 (multiplicity 2)
Sn 0.000 0.000 0.500 (multiplicity 2)

16.
Compound: Ca3InP3
Source: Alexandria via LeMat-Bulk
Functional: meta-GGA SCAN
Structure: single point on PBEsol structure

Crystal system: orthorhombic
DFT formation energy: -1.117 eV/atom

Unit cell a=11.938 b=4.113 c=13.310 alpha=90.00 beta=90.00 gamma=90.00
Space group Pnma (No. 62)
One atom of each set of equivalent atoms:
Ca 0.065 0.250 0.103 (multiplicity 4)
Ca 0.154 0.750 0.505 (multiplicity 4)
Ca 0.231 0.750 0.789 (multiplicity 4)
In 0.051 0.250 0.700 (multiplicity 4)
P 0.051 0.250 0.368 (multiplicity 4)
P 0.105 0.250 0.888 (multiplicity 4)
P 0.245 0.750 0.128 (multiplicity 4)

17.
Compound: AlAg2P
Source: Alexandria via LeMat-Bulk
Functional: meta-GGA SCAN
Structure: single point on PBEsol structure

Crystal system: monoclinic
DOS at the Fermi energy: 2.10 states/eV per cell
ΔE to the lowest computed polymorph: 0.000 eV/f.u.
DFT formation energy: 0.144 eV/atom

Unit cell a=8.736 b=3.016 c=4.989 alpha=90.00 beta=102.02 gamma=90.00
Space group C2/m (No. 12)
One atom of each set of equivalent atoms:
Al 0.000 0.000 0.000 (multiplicity 2)
Ag 0.249 0.500 0.244 (multiplicity 4)
P 0.000 0.500 0.500 (multiplicity 2)

18.
Compound: MnZn2Au
Source: Alexandria via LeMat-Bulk
Functional: meta-GGA SCAN
Structure: single point on PBEsol structure

Crystal system: tetragonal
DOS at the Fermi energy: 1.97 states/eV per cell
DFT formation energy: -0.273 eV/atom

Unit cell a=3.845 b=3.845 c=3.832 alpha=90.00 beta=90.00 gamma=90.00
Space group P4/mmm (No. 123)
One atom of each set of equivalent atoms:
Mn 0.000 0.000 0.000 (multiplicity 1)
Zn 0.000 0.500 0.500 (multiplicity 2)
Au 0.500 0.500 0.000 (multiplicity 1)

19.
Compound: YBRh3
Source: Alexandria via LeMat-Bulk
Functional: meta-GGA SCAN
Structure: single point on PBEsol structure

Crystal system: cubic
DOS at the Fermi energy: 3.37 states/eV per cell
DFT formation energy: -0.882 eV/atom

Unit cell a=4.145 b=4.145 c=4.145 alpha=90.00 beta=90.00 gamma=90.00
Space group Pm-3m (No. 221)
One atom of each set of equivalent atoms:
Y 0.000 0.000 0.000 (multiplicity 1)
B 0.500 0.500 0.500 (multiplicity 1)
Rh 0.000 0.500 0.500 (multiplicity 3)

20.
Compound: Sc2P3H3O9
Source: Alexandria via LeMat-Bulk
Functional: meta-GGA SCAN
Structure: single point on PBEsol structure

VASP energy: -9.897 eV per atom
Crystal system: hexagonal
DOS at the Fermi energy: 0.00 states/eV per cell

Unit cell a=8.3451 b=8.3451 c=7.7187 alpha=90.00 beta=90.00 gamma=120.00
Space group P6_3/m (No. 176)
One atom of each set of equivalent atoms:
Sc 0.3333 0.6667 0.0462 (multiplicity 4)
P 0.0430 0.6895 0.7500 (multiplicity 6)
H 0.0072 0.1721 0.2500 (multiplicity 6)
O 0.1394 0.4992 0.2500 (multiplicity 6)
O 0.1526 0.7144 0.5843 (multiplicity 12)

21.
Compound: Al2Cu5Si
Source: Alexandria via LeMat-Bulk
Functional: meta-GGA SCAN
Structure: single point on PBEsol structure

Crystal system: tetragonal
ΔE_f (raw): -1.09 eV/f.u.
DOS at the Fermi energy: 5.11 states/eV per cell
ΔE to the lowest computed polymorph: 0.290 eV/f.u.

Unit cell a=3.861 b=3.861 c=13.155 alpha=90.00 beta=90.00 gamma=90.00
Space group I4/mmm (No. 139)
One atom of each set of equivalent atoms:
Al 0.000 0.000 0.248 (multiplicity 4)
Cu 0.000 0.000 0.000 (multiplicity 2)
Cu 0.000 0.500 0.121 (multiplicity 8)
Si 0.000 0.000 0.500 (multiplicity 2)

22.
Compound: V6Si5
Source: Alexandria via LeMat-Bulk
Functional: meta-GGA SCAN
Structure: single point on PBEsol structure

Crystal system: orthorhombic
ΔE_f (raw): -5.96 eV/f.u.
DOS at the Fermi energy: 29.12 states/eV per cell

Unit cell a=7.406 b=15.788 c=4.784 alpha=90.00 beta=90.00 gamma=90.00
Space group Ibam (No. 72)
One atom of each set of equivalent atoms:
V 0.000 0.190 0.250 (multiplicity 8)
V 0.113 0.357 0.000 (multiplicity 8)
V 0.247 0.066 0.000 (multiplicity 8)
Si 0.000 0.500 0.250 (multiplicity 4)
Si 0.091 0.064 0.500 (multiplicity 8)
Si 0.202 0.286 0.500 (multiplicity 8)

23.
Compound: Al8Au
Source: Alexandria via LeMat-Bulk
Functional: meta-GGA SCAN
Structure: single point on PBEsol structure

Crystal system: tetragonal
DOS at the Fermi energy: 6.18 states/eV per cell
DFT formation energy: -0.125 eV/atom

Unit cell a=8.542 b=8.542 c=3.973 alpha=90.00 beta=90.00 gamma=90.00
Space group I4/mmm (No. 139)
One atom of each set of equivalent atoms:
Al 0.000 0.333 0.000 (multiplicity 8)
Al 0.166 0.166 0.500 (multiplicity 8)
Au 0.000 0.000 0.000 (multiplicity 2)